DFT (PBE) results for KYIn2 after structural relaxation.

Summary:
Its space-group type is Pmm2 (25). The energy above the most stable polymorph in this dataset is 252 meV per atom. As for the formation enthalpy at 0 K: 8 meV/atom. As for the electronic total energy: -3.251 eV per atom. The theoretical density is 4.59 g/cm³.

abc: 3.4984 5.2900 6.9861
angles: 90.00 90.00 90.00
Positions (direct):
1 Y 0.5000 0.5000 0.8208
2 In 0.0000 0.0000 0.9547
3 In 0.5000 0.5000 0.2621
4 K 0.0000 0.0000 0.4625



DFT (PBE) results for K4YIn2 after structural relaxation.

Summary:
Its space-group type is I4/mmm (139). As for the formation enthalpy at 0 K: 569 meV/atom. As for the electronic total energy: -1.764 eV per atom. The theoretical density is 1.87 g/cm³.

abc: 6.9447 6.9447 10.0130
angles: 69.71 69.71 90.00
Positions (direct):
1 K 0.0000 0.5000 0.0000
2 K 0.7824 0.7824 0.4352
3 K 0.5000 0.0000 0.0000
4 K 0.2176 0.2176 0.5648
5 In 0.5821 0.5821 0.8359
6 In 0.4179 0.4179 0.1641
7 Y 0.0000 0.0000 0.0000